{
  "formula": "PuBe2BiO8",
  "functional": "GGA-PBE",
  "state": "optimized geometry",
  "lattice": [[5.2595, 0.0000, 0.0000], [-2.6298, 4.5549, 0.0000], [0.0000, 0.0000, 6.6994]],
  "species": ["Pu", "Be", "Be", "Bi", "O", "O", "O", "O", "O", "O", "O", "O"],
  "frac_coords": [[0.0000, 0.0000, 0.0000], [0.3333, 0.6667, 0.7303], [0.6667, 0.3333, 0.2697], [0.0000, 0.0000, 0.5000], [0.1650, 0.3300, 0.8042], [0.1650, 0.8350, 0.8042], [0.3300, 0.1650, 0.1958], [0.3333, 0.6667, 0.4913], [0.6667, 0.3333, 0.5087], [0.6700, 0.8350, 0.8042], [0.8350, 0.1650, 0.1958], [0.8350, 0.6700, 0.1958]],
  "formation_energy_uncorrected_kj_per_mol_fu": -1864,
  "dft_energy_ev_per_atom": -7.054,
  "crystal_system": "trigonal",
  "magmom_total_mub_per_fu": 2.6
}